No. 1
## Li3GaH6 (GGA-PBE)

Data for Li3GaH6 after structural relaxation.

```
20
Lattice="5.235 0.000 0.000 0.000 6.247 0.070 0.000 -1.325 6.105" Properties=species:S:1:pos:R:3 pbc="T T T"
Li 2.771 4.496 4.315
Li 0.153 3.203 5.346
Li 2.829 1.975 3.475
Li 0.212 2.947 2.700
Li 0.153 0.425 1.860
Li 2.771 1.718 0.830
Ga 5.066 0.076 4.988
Ga 2.448 4.845 1.188
H 1.495 3.257 4.114
H 4.113 3.284 4.093
H 0.537 1.305 5.693
H 3.155 5.258 2.542
H 5.131 -1.182 5.991
H 3.467 0.322 4.792
H 0.850 4.599 1.384
H 2.513 6.104 0.184
H 0.537 -0.337 3.633
H 3.155 3.616 0.482
H 1.495 1.638 2.082
H 4.113 1.664 2.061
```

Results
Symmetry: Cmc2_1
Electronic total energy, eV per atom: -3.08

=====

No. 2
## Li2GaH (GGA-PBE)

Data for Li2GaH after structural relaxation.

```
4
Lattice="-1.990 -3.817 0.435 -0.255 -1.876 3.891 -3.807 -0.235 2.043" Properties=species:S:1:pos:R:3 pbc="T T T"
H 0.000 0.000 0.000
Ga -3.025 -2.964 3.184
Li -1.513 -1.482 1.592
Li -4.538 -4.447 4.776
```

Results
Polymorph energy (0 for the lowest one), eV per formula unit: 2.18
Symmetry: Fm-3m
Electronic total energy, eV per atom: -2.28

=====

No. 3
## Li3Ga5H12 (GGA-PBE)

Data for Li3Ga5H12 after structural relaxation.

```
80
Lattice="10.631 0.000 0.000 -3.544 10.023 0.000 -3.544 -5.011 8.680" Properties=species:S:1:pos:R:3 pbc="T T T"
Li 6.201 3.132 1.085
Li 6.201 6.891 1.085
Li -0.886 4.385 5.425
Li 0.886 -0.626 3.255
Li 7.973 0.000 2.170
Li 0.886 5.011 2.170
Li 2.658 0.000 6.510
Li -4.430 5.011 6.510
Li 2.658 5.638 5.425
Li 4.430 0.626 3.255
Li -2.658 -1.879 7.595
Li -2.658 1.879 7.595
Ga -0.886 2.506 2.170
Ga -1.772 5.011 0.000
Ga 0.000 0.000 0.000
Ga 2.658 1.879 1.085
Ga 3.544 -2.506 4.340
Ga 3.544 5.011 0.000
Ga -2.658 5.638 3.255
Ga 4.430 -3.132 7.595
Ga 4.430 4.385 3.255
Ga 0.886 -2.506 6.510
Ga 2.658 7.517 2.170
Ga 1.772 2.506 4.340
Ga 5.315 0.000 0.000
Ga -1.772 -2.506 4.340
Ga -0.886 0.626 5.425
Ga -0.886 8.144 1.085
Ga -3.544 2.506 4.340
Ga 6.201 -0.626 5.425
Ga 0.886 3.132 7.595
Ga 4.430 2.506 6.510
H 7.320 1.174 0.249
H -0.232 3.308 3.448
H 8.105 2.400 2.240
H 4.297 1.766 1.141
H 1.333 3.862 6.191
H 7.434 4.973 1.851
H -1.018 5.646 3.382
H -2.525 8.257 1.141
H 0.439 6.161 6.191
H 4.968 5.050 1.851
H 5.083 2.877 3.199
H 5.083 8.849 0.249
H -3.105 4.787 4.589
H 2.119 3.428 0.958
H -3.311 7.146 3.199
H 1.540 -1.703 5.232
H -0.439 0.925 2.100
H 2.119 6.633 0.892
H 4.297 7.623 2.240
H -0.347 3.390 0.892
H -2.211 5.936 6.580
H 2.790 4.377 3.382
H 4.876 5.236 4.589
H 3.891 -1.584 7.722
H 0.754 0.634 5.298
H -1.333 -0.225 4.091
H -0.347 6.595 0.958
H -0.754 -2.611 6.440
H 5.754 -0.925 2.100
H 3.891 1.622 7.788
H 1.425 -1.622 7.788
H 2.004 6.714 3.448
H 3.983 4.087 6.580
H 6.855 -2.134 5.481
H 6.648 0.225 4.091
H -1.540 -3.837 8.431
H 1.425 1.584 7.722
H 3.105 -1.150 2.489
H -1.425 -0.038 6.829
H -1.540 2.134 5.481
H 6.069 -3.246 7.539
H 4.562 -0.634 5.298
H -0.754 3.246 7.539
H -3.891 0.038 6.829
H 2.211 1.150 2.489
H -4.562 2.611 6.440
H 3.776 1.703 5.232
H -3.776 3.837 8.431
```

Results
Symmetry: Ia-3d
Electronic total energy, eV per atom: -2.93

=====

No. 4
## LiGaH (GGA-PBE)

Data for LiGaH after structural relaxation.

```
12
Lattice="-8.214 3.404 -5.389 -0.989 -2.682 -0.187 -1.867 0.370 4.567" Properties=species:S:1:pos:R:3 pbc="T T T"
Li -6.634 2.515 -0.998
Li -6.195 0.989 -3.375
Li -8.015 3.192 -3.396
Li -9.443 2.036 -1.206
Ga -5.150 1.797 1.465
Ga -4.711 0.271 -0.912
Ga -2.797 0.859 2.476
Ga -2.358 -0.667 0.099
H -8.076 2.966 0.160
H -7.637 1.440 -2.217
H -9.376 3.610 -2.197
H -8.937 2.084 -4.573
```

Results
Polymorph energy (0 for the lowest one), eV per formula unit: 0.03
Symmetry: Cm
Electronic total energy, eV per atom: -2.95

=====

No. 5
## LiGa2H (GGA-PBE)

Data for LiGa2H after structural relaxation.

```
8
Lattice="6.775 0.000 0.000 0.000 6.775 0.000 3.388 3.388 2.443" Properties=species:S:1:pos:R:3 pbc="T T T"
H 3.388 3.388 0.000
H 3.388 6.775 1.221
Ga 4.500 1.694 0.611
Ga 2.275 5.081 0.611
Ga 5.081 5.663 1.832
Ga 8.469 7.887 1.832
Li 0.000 0.000 0.000
Li 6.775 3.388 1.221
```

Results
Polymorph energy (0 for the lowest one), eV per formula unit: 0.00
Symmetry: I-42d
Electronic total energy, eV per atom: -2.78

=====

No. 6
## LiGaH4 (GGA-PBE)

Data for LiGaH4 after structural relaxation.

```
24
Lattice="7.752 0.000 0.000 0.000 4.785 0.039 0.000 3.104 7.296" Properties=species:S:1:pos:R:3 pbc="T T T"
Li 4.141 4.859 4.959
Li 0.265 4.582 6.025
Li 3.611 3.030 2.377
Li 7.487 3.307 1.311
Ga 1.582 5.406 3.139
Ga 5.458 0.931 0.548
Ga 6.169 2.483 4.196
Ga 2.294 6.958 6.787
H 6.937 3.134 5.425
H 3.061 6.307 5.558
H 0.815 4.755 1.910
H 4.691 1.582 1.777
H 4.828 3.338 3.883
H 0.952 6.104 7.101
H 2.924 4.552 3.453
H 6.800 1.786 0.235
H 0.671 5.429 4.432
H 4.547 4.013 6.552
H 7.081 2.460 2.904
H 3.205 3.877 0.784
H 1.999 2.108 2.710
H 5.875 4.229 0.977
H 5.753 5.781 4.625
H 1.877 3.661 6.358
```

Results
Symmetry: P2_1/c
Electronic total energy, eV per atom: -3.17

=====

No. 7
## LiGaH (GGA-PBE)

Data for LiGaH after structural relaxation.

```
3
Lattice="2.796 0.000 0.000 0.000 2.795 0.000 0.000 0.000 4.522" Properties=species:S:1:pos:R:3 pbc="T T T"
Li 1.398 1.397 0.474
Ga 0.000 0.000 2.859
H 0.000 0.000 1.030
```

Results
Polymorph energy (0 for the lowest one), eV per formula unit: 0.13
Symmetry: P4mm
Electronic total energy, eV per atom: -2.92

=====

No. 8
## Li2GaH2 (GGA-PBE)

Data for Li2GaH2 after structural relaxation.

```
10
Lattice="6.185 0.000 0.000 0.000 6.185 0.000 0.000 0.000 2.842" Properties=species:S:1:pos:R:3 pbc="T T T"
H 2.090 5.182 0.000
H 5.182 4.096 0.000
H 4.096 1.003 0.000
H 1.003 2.090 0.000
Ga 0.000 0.000 0.000
Ga 3.093 3.093 0.000
Li 1.057 4.149 1.421
Li 4.149 5.129 1.421
Li 5.129 2.036 1.421
Li 2.036 1.057 1.421
```

Results
Symmetry: P4/mbm
Electronic total energy, eV per atom: -2.73

=====

No. 9
## LiGaH3 (GGA-PBE)

Data for LiGaH3 after structural relaxation.

```
20
Lattice="5.473 0.000 -1.602 0.000 4.643 0.000 -0.886 0.000 9.299" Properties=species:S:1:pos:R:3 pbc="T T T"
Li -0.077 2.658 1.572
Li 2.370 0.337 2.276
Li 4.664 1.985 6.125
Li 2.217 4.307 5.421
Ga 2.205 2.909 0.122
Ga 0.089 0.588 3.727
Ga 2.382 1.734 7.575
Ga 4.498 4.056 3.971
H -0.165 2.795 6.137
H 1.572 0.473 7.011
H 4.752 1.848 1.560
H 3.015 4.170 0.686
H 4.124 0.309 5.293
H 2.756 2.630 6.252
H 0.463 4.334 2.404
H 1.831 2.013 1.445
H 2.983 3.550 3.629
H 4.783 1.229 -1.383
H 1.604 1.093 4.068
H -0.196 3.415 9.080
```

Results
Polymorph energy (0 for the lowest one), eV per formula unit: 0.00
Symmetry: P2_1/c
Electronic total energy, eV per atom: -3.14

=====

No. 10
## Li2GaH4 (GGA-PBE)

Data for Li2GaH4 after structural relaxation.

```
7
Lattice="-1.064 -2.956 -0.029 2.674 -1.000 3.842 -4.547 3.304 0.190" Properties=species:S:1:pos:R:3 pbc="T T T"
Li -0.530 -1.506 2.807
Li -2.406 0.854 1.196
Ga 0.000 0.000 0.000
H -3.827 -0.300 0.764
H 0.891 -0.352 3.239
H -0.945 -1.339 0.984
H -1.991 0.687 3.019
```

Results
Polymorph energy (0 for the lowest one), eV per formula unit: 0.00
Symmetry: C2/m
Electronic total energy, eV per atom: -2.94

=====

No. 11
## LiGaH (GGA-PBE)

Data for LiGaH after structural relaxation.

```
3
Lattice="2.717 0.000 0.000 0.000 2.717 0.000 -1.359 -1.359 5.207" Properties=species:S:1:pos:R:3 pbc="T T T"
H 0.000 0.000 0.617
Ga 0.000 0.000 2.675
Li 1.359 1.359 0.353
```

Results
Polymorph energy (0 for the lowest one), eV per formula unit: 0.25
Symmetry: I4mm
Electronic total energy, eV per atom: -2.88

=====

No. 12
## Li2GaH (GGA-PBE)

Data for Li2GaH after structural relaxation.

```
4
Lattice="-1.441 2.511 0.098 -1.679 0.865 -2.196 -6.405 -2.119 2.184" Properties=species:S:1:pos:R:3 pbc="T T T"
Li -5.508 -1.566 1.694
Li -1.936 0.592 -0.224
Ga -4.750 0.610 0.055
H -2.092 2.248 -1.396
```

Results
Polymorph energy (0 for the lowest one), eV per formula unit: 0.00
Symmetry: Cm
Electronic total energy, eV per atom: -2.83

=====

No. 13
## Li2GaH (GGA-PBE)

Data for Li2GaH after structural relaxation.

```
4
Lattice="-0.341 1.565 2.112 -2.239 0.943 -1.060 -3.584 -4.998 3.125" Properties=species:S:1:pos:R:3 pbc="T T T"
H -1.290 1.254 0.526
Ga -3.082 -1.245 2.088
Li -2.936 -4.094 2.560
Li -0.648 -0.904 0.565
```

Results
Polymorph energy (0 for the lowest one), eV per formula unit: 0.33
Symmetry: P4/mmm
Electronic total energy, eV per atom: -2.75

=====

No. 14
## LiGa2H (GGA-PBE)

Data for LiGa2H after structural relaxation.

```
4
Lattice="3.152 -2.114 -1.999 0.135 -4.285 0.142 -0.853 -2.291 -3.525" Properties=species:S:1:pos:R:3 pbc="T T T"
H 0.000 0.000 0.000
Ga 0.608 -2.173 -1.345
Ga 1.825 -6.518 -4.036
Li 1.217 -4.345 -2.691
```

Results
Polymorph energy (0 for the lowest one), eV per formula unit: 1.03
Symmetry: Fm-3m
Electronic total energy, eV per atom: -2.52

=====

No. 15
## LiGaH (GGA-PBE)

Data for LiGaH after structural relaxation.

```
6
Lattice="-2.477 2.308 2.884 -1.925 -2.029 -3.458 -0.595 -3.943 2.644" Properties=species:S:1:pos:R:3 pbc="T T T"
H -2.442 -0.123 1.431
H -2.555 -3.540 0.639
Ga -0.298 -1.971 1.322
Ga 0.000 0.000 0.000
Li -2.739 -2.095 2.753
Li -2.258 -1.569 -0.683
```

Results
Polymorph energy (0 for the lowest one), eV per formula unit: 1.40
Symmetry: P6_3/mmc
Electronic total energy, eV per atom: -2.49

=====

No. 16
## LiGa3H (GGA-PBE)

Data for LiGa3H after structural relaxation.

```
5
Lattice="4.237 0.000 0.000 0.000 4.237 0.000 0.000 0.000 4.237" Properties=species:S:1:pos:R:3 pbc="T T T"
H 0.000 0.000 0.000
Ga 0.000 2.118 0.000
Ga 0.000 0.000 2.118
Ga 2.118 0.000 0.000
Li 2.118 2.118 2.118
```

Results
Polymorph energy (0 for the lowest one), eV per formula unit: 0.00
Symmetry: Pm-3m
Electronic total energy, eV per atom: -2.77

=====

No. 17
## Li2GaH (GGA-PBE)

Data for Li2GaH after structural relaxation.

```
4
Lattice="2.867 0.000 0.000 1.434 2.483 0.000 1.434 0.828 6.929" Properties=species:S:1:pos:R:3 pbc="T T T"
H 0.000 0.000 0.000
Ga 2.867 1.655 3.465
Li 1.434 0.828 1.152
Li 4.301 2.483 5.777
```

Results
Polymorph energy (0 for the lowest one), eV per formula unit: 0.01
Symmetry: R-3m
Electronic total energy, eV per atom: -2.83

=====

No. 18
## LiGaH (GGA-PBE)

Data for LiGaH after structural relaxation.

```
6
Lattice="5.483 0.000 0.000 0.000 2.874 0.000 0.000 0.000 4.552" Properties=species:S:1:pos:R:3 pbc="T T T"
Li 0.000 0.000 2.276
Li 2.741 0.000 2.276
Ga 1.371 1.437 0.006
Ga 4.112 1.437 4.546
H 1.371 1.437 2.745
H 4.112 1.437 1.807
```

Results
Polymorph energy (0 for the lowest one), eV per formula unit: 0.09
Symmetry: Pmma
Electronic total energy, eV per atom: -2.93

=====

No. 19
## LiGaH (GGA-PBE)

Data for LiGaH after structural relaxation.

```
6
Lattice="2.927 0.008 0.083 1.456 4.708 0.049 1.588 0.235 5.435" Properties=species:S:1:pos:R:3 pbc="T T T"
Li 1.726 1.484 0.562
Li 3.238 1.967 3.264
Ga 1.737 3.896 1.814
Ga 4.758 4.042 4.708
H 4.778 2.240 4.733
H 3.164 0.910 1.718
```

Results
Polymorph energy (0 for the lowest one), eV per formula unit: 0.05
Symmetry: P1
Electronic total energy, eV per atom: -2.94

=====

No. 20
## LiGaH (GGA-PBE)

Data for LiGaH after structural relaxation.

```
6
Lattice="-2.567 0.576 -0.712 -0.577 -2.663 -0.074 -2.581 0.286 9.406" Properties=species:S:1:pos:R:3 pbc="T T T"
Li -4.670 -1.311 7.815
Li -1.055 -0.491 0.805
Ga -2.389 -0.346 5.623
Ga -3.337 -1.456 2.997
H -3.108 -0.266 8.246
H -2.618 -1.536 0.374
```

Results
Polymorph energy (0 for the lowest one), eV per formula unit: 0.00
Symmetry: P-1
Electronic total energy, eV per atom: -2.96

=====

No. 21
## LiGaH3 (GGA-PBE)

Data for LiGaH3 after structural relaxation.

```
5
Lattice="3.457 0.000 0.000 0.000 3.457 0.000 0.000 0.000 3.457" Properties=species:S:1:pos:R:3 pbc="T T T"
H 0.000 1.729 0.000
H 0.000 0.000 1.729
H 1.729 0.000 0.000
Ga 1.729 1.729 1.729
Li 0.000 0.000 0.000
```

Results
Polymorph energy (0 for the lowest one), eV per formula unit: 2.34
Symmetry: Pm-3m
Electronic total energy, eV per atom: -2.67

=====

Per-record size of the total moment, Bohr magnetons per cell: 0.00 0.00 0.00 0.00 0.00 0.00 0.00 0.00 0.00 0.00 0.00 0.00 0.00 0.00 0.00 0.00 0.00 0.00 0.00 0.00 0.00